1.
VASP calculation (PBE-GGA) on Ag2SnSbH after structural relaxation.

Geometry as CIF:
```
data_Ag2SnSbH
_chemical_formula_sum 'Ag2 Sn1 Sb1 H1'
_cell_length_a 5.4363
_cell_length_b 5.4363
_cell_length_c 3.6542
_cell_angle_alpha 90.00
_cell_angle_beta 90.00
_cell_angle_gamma 90.00
_symmetry_space_group_name_H-M 'P 4/m m m'
_symmetry_Int_Tables_number 123
_symmetry_space_group_name_Hall '-P 4 2'
loop_
_atom_site_label
_atom_site_type_symbol
_atom_site_fract_x
_atom_site_fract_y
_atom_site_fract_z
Ag1 Ag 0.0000 0.5000 0.0000
Sn1 Sn 0.0000 0.0000 0.5000
Sb1 Sb 0.5000 0.5000 0.0000
H1 H 0.5000 0.5000 0.5000
```



2.
VASP calculation (PBE-GGA) on TbAgSbH after structural relaxation.

Geometry as CIF:
```
data_TbAgSbH
_chemical_formula_sum 'Tb2 Ag2 Sb2 H2'
_cell_length_a 4.2098
_cell_length_b 4.2098
_cell_length_c 8.4097
_cell_angle_alpha 90.00
_cell_angle_beta 90.00
_cell_angle_gamma 90.00
_symmetry_space_group_name_H-M 'P 4/n m m'
_symmetry_Int_Tables_number 129
loop_
_symmetry_equiv_pos_as_xyz
'x,y,z'
'-x,-y,-z'
'-y+1/2,x,z'
'y+1/2,-x,-z'
'-x+1/2,-y+1/2,z'
'x+1/2,y+1/2,-z'
'y,-x+1/2,z'
'-y,x+1/2,-z'
'x+1/2,-y,-z'
'-x+1/2,y,z'
'-y,-x,-z'
'y,x,z'
'-x,y+1/2,-z'
'x,-y+1/2,z'
'y+1/2,x+1/2,-z'
'-y+1/2,-x+1/2,z'
loop_
_atom_site_label
_atom_site_type_symbol
_atom_site_fract_x
_atom_site_fract_y
_atom_site_fract_z
Tb1 Tb 0.2500 0.2500 0.1310
Ag1 Ag 0.2500 0.7500 0.5000
Sb1 Sb 0.2500 0.2500 0.7333
H1 H 0.2500 0.7500 0.0000
```



3.
VASP calculation (PBE-GGA) on TcAg2SbH after structural relaxation.

Geometry as CIF:
```
data_TcAg2SbH
_chemical_formula_sum 'Tc1 Ag2 Sb1 H1'
_cell_length_a 4.1637
_cell_length_b 4.1637
_cell_length_c 4.3007
_cell_angle_alpha 90.00
_cell_angle_beta 90.00
_cell_angle_gamma 90.00
_symmetry_space_group_name_H-M 'P 4/m m m'
_symmetry_Int_Tables_number 123
_symmetry_space_group_name_Hall '-P 4 2'
loop_
_atom_site_label
_atom_site_type_symbol
_atom_site_fract_x
_atom_site_fract_y
_atom_site_fract_z
Tc1 Tc 0.0000 0.0000 0.0000
Ag1 Ag 0.0000 0.5000 0.5000
Sb1 Sb 0.5000 0.5000 0.0000
H1 H 0.0000 0.0000 0.5000
```



4.
VASP calculation (PBE-GGA) on Ti2AgSbH after structural relaxation.

Geometry as CIF:
```
data_Ti2AgSbH
_chemical_formula_sum 'Ti2 Ag1 Sb1 H1'
_cell_length_a 4.1013
_cell_length_b 4.1013
_cell_length_c 4.3850
_cell_angle_alpha 90.00
_cell_angle_beta 90.00
_cell_angle_gamma 90.00
_symmetry_space_group_name_H-M 'P 4/m m m'
_symmetry_Int_Tables_number 123
_symmetry_space_group_name_Hall '-P 4 2'
loop_
_atom_site_label
_atom_site_type_symbol
_atom_site_fract_x
_atom_site_fract_y
_atom_site_fract_z
Ti1 Ti 0.0000 0.5000 0.0000
Ag1 Ag 0.0000 0.0000 0.5000
Sb1 Sb 0.5000 0.5000 0.5000
H1 H 0.0000 0.0000 0.0000
```



5.
VASP calculation (PBE-GGA) on Tl2AgSbH after structural relaxation.

Geometry as CIF:
```
data_Tl2AgSbH
_chemical_formula_sum 'Tl2 Ag1 Sb1 H1'
_cell_length_a 5.9458
_cell_length_b 5.9458
_cell_length_c 3.4639
_cell_angle_alpha 90.00
_cell_angle_beta 90.00
_cell_angle_gamma 90.00
_symmetry_space_group_name_H-M 'P 4/m m m'
_symmetry_Int_Tables_number 123
_symmetry_space_group_name_Hall '-P 4 2'
loop_
_atom_site_label
_atom_site_type_symbol
_atom_site_fract_x
_atom_site_fract_y
_atom_site_fract_z
Tl1 Tl 0.0000 0.5000 0.0000
Ag1 Ag 0.0000 0.0000 0.0000
Sb1 Sb 0.5000 0.5000 0.5000
H1 H 0.0000 0.0000 0.5000
```



6.
VASP calculation (PBE-GGA) on Sc12Ag3H5 after structural relaxation.

Geometry as CIF:
```
data_Sc12Ag3H5
_chemical_formula_sum 'Sc96 Ag24 H40'
_cell_length_a 14.2438
_cell_length_b 14.2438
_cell_length_c 14.2438
_cell_angle_alpha 90.00
_cell_angle_beta 90.00
_cell_angle_gamma 90.00
_symmetry_space_group_name_H-M 'I a -3 d'
_symmetry_Int_Tables_number 230
_symmetry_space_group_name_Hall '-I 4bd 2c 3'
loop_
_atom_site_label
_atom_site_type_symbol
_atom_site_fract_x
_atom_site_fract_y
_atom_site_fract_z
Sc1 Sc 0.0429 0.0542 0.6508
Ag1 Ag 0.0000 0.2500 0.1250
H1 H 0.0000 0.0000 0.0000
H2 H 0.0000 0.2500 0.3750
```



Electronic total energy list, top to bottom, in eV/atom: -3.103; -4.302; -4.295; -5.454; -2.803; -5.269